Below is a geometry-optimized CdHgTeS structure, with properties calculated at the PBE level.

Structure (POSCAR):
```
CdHgTeS
1.0
2.223 1.284 7.290
-2.223 1.284 7.290
0.000 -2.567 7.290
Cd Hg Te S
1 1 1 1
Direct
0.000 0.000 0.000 Cd
0.483 0.483 0.483 Hg
0.869 0.869 0.869 Te
0.364 0.364 0.364 S
```

Computed properties:
uncorrected formation energy	-0.323	eV/atom
space-group type	No. 160

***

Below is a geometry-optimized CdHg2Te2S structure, with properties calculated at the PBE level.

Structure (POSCAR):
```
CdHg2Te2S
1.0
6.791 -3.911 0.000
6.791 3.911 0.000
0.000 0.000 7.421
Cd Hg Te S
2 4 4 2
Direct
0.141 0.859 0.500 Cd
0.859 0.141 0.000 Cd
0.163 0.522 0.041 Hg
0.478 0.837 0.041 Hg
0.522 0.163 0.541 Hg
0.837 0.478 0.541 Hg
0.168 0.510 0.653 Te
0.490 0.832 0.653 Te
0.510 0.168 0.153 Te
0.832 0.490 0.153 Te
0.156 0.844 0.152 S
0.844 0.156 0.652 S
```

Computed properties:
uncorrected formation energy	-0.269	eV/atom
space-group type	No. 36

***

Below is a geometry-optimized CdHgSb2 structure, with properties calculated at the PBE level.

Structure (POSCAR):
```
CdHgSb2
1.0
1.893 -2.715 0.000
1.893 2.715 0.000
0.000 0.000 10.177
Cd Hg Sb
1 1 2
Direct
0.000 0.000 0.000 Cd
0.500 0.500 0.765 Hg
0.000 0.000 0.509 Sb
0.500 0.500 0.251 Sb
```

Computed properties:
uncorrected formation energy	0.154	eV/atom
space-group type	No. 35
excess energy over the best structure of this formula in the dataset	61.9	meV per atom

***

Below is a geometry-optimized Cd3HgSb structure, with properties calculated at the PBE level.

Structure (POSCAR):
```
Cd3HgSb
1.0
6.867 -3.151 0.000
6.867 3.151 0.000
-2.468 0.000 13.278
Cd Hg Sb
12 4 4
Direct
0.088 0.232 0.800 Cd
0.163 0.753 0.960 Cd
0.232 0.088 0.300 Cd
0.245 0.371 0.664 Cd
0.247 0.837 0.540 Cd
0.371 0.245 0.164 Cd
0.629 0.755 0.836 Cd
0.753 0.163 0.460 Cd
0.755 0.629 0.336 Cd
0.768 0.912 0.700 Cd
0.837 0.247 0.040 Cd
0.912 0.768 0.200 Cd
0.223 0.529 0.390 Hg
0.471 0.777 0.110 Hg
0.529 0.223 0.890 Hg
0.777 0.471 0.610 Hg
0.000 0.500 0.000 Sb
0.235 0.765 0.750 Sb
0.500 0.000 0.500 Sb
0.765 0.235 0.250 Sb
```

Computed properties:
uncorrected formation energy	0.064	eV/atom
space-group type	No. 15
excess energy over the best structure of this formula in the dataset	24.1	meV per atom